1.
## Ba4LiPb (GGA-PBE)

Data for crystalline Ba4LiPb at its relaxed geometry.

Values from the calculation:
SG = No. 216
formation enthalpy at 0 K = 261 meV per atom

a = 7.406 Å, b = 7.406 Å, c = 7.406 Å
α = 60.00°, β = 60.00°, γ = 60.00°
Positions (direct):
Ba1 0.374 0.879 0.374
Ba2 0.374 0.374 0.879
Ba3 0.374 0.374 0.374
Ba4 0.879 0.374 0.374
Li1 0.750 0.750 0.750
Pb1 0.000 0.000 0.000

---

2.
## Y2Co3Tc (GGA-PBE)

Data for crystalline Y2Co3Tc at its relaxed geometry.

Values from the calculation:
SG = No. 194
formation enthalpy at 0 K = -146 meV per atom

a = 5.225 Å, b = 5.225 Å, c = 8.145 Å
α = 90.00°, β = 90.00°, γ = 120.00°
Positions (direct):
Y1 0.667 0.333 0.438
Y2 0.667 0.333 0.062
Y3 0.333 0.667 0.938
Y4 0.333 0.667 0.562
Co1 0.670 0.835 0.250
Co2 0.165 0.330 0.250
Co3 0.165 0.835 0.250
Co4 0.835 0.670 0.750
Co5 0.835 0.165 0.750
Co6 0.330 0.165 0.750
Tc1 0.000 0.000 0.500
Tc2 0.000 0.000 0.000

---

3.
## MgFeOs (GGA-PBE)

Data for crystalline MgFeOs at its relaxed geometry.

Values from the calculation:
SG = No. 2
formation enthalpy at 0 K = 236 meV per atom
excess energy over the best structure of this formula in the dataset = 101 meV/atom

a = 4.263 Å, b = 4.982 Å, c = 5.252 Å
α = 62.48°, β = 89.86°, γ = 115.17°
Last column: magnetic moment on the atom in μB.
Positions (direct):
Fe1 0.972 0.000 0.765  2.24
Fe2 0.677 0.414 0.880  2.24
Os1 0.357 0.769 0.051  0.19
Os2 0.292 0.645 0.594  0.19
Mg1 0.649 0.354 0.412  -0.02
Mg2 0.000 0.059 0.233  -0.02

---

4.
## Te2AuC (GGA-PBE)

Data for crystalline Te2AuC at its relaxed geometry.

Values from the calculation:
SG = No. 166

a = 8.769 Å, b = 8.769 Å, c = 8.769 Å
α = 22.45°, β = 22.45°, γ = 22.45°
Positions (direct):
Te1 0.106 0.106 0.106
Te2 0.894 0.894 0.894
C1 0.500 0.500 0.500
Au1 0.000 0.000 0.000

---

The calculation returns the following uncorrected energy values, one per record and in order: -1.9583, -7.5817, -6.8596, -3.5943 eV per atom.